# 1
# Rb3Pr2TmS6 (PBE, relaxed)
# Formation energy from raw total energies (eV per formula unit): -21.9
# Crystal system: monoclinic
# DOS at the Fermi energy (states/eV per cell): 0.000
data_Rb3Pr2TmS6
_symmetry_space_group_name_H-M 'C 1 2/m 1'
_symmetry_Int_Tables_number 12
_cell_length_a 7.2439
_cell_length_b 12.5470
_cell_length_c 8.0838
_cell_angle_alpha 90.00
_cell_angle_beta 107.40
_cell_angle_gamma 90.00
loop_
_symmetry_equiv_pos_as_xyz
'x,y,z'
'-x,-y,-z'
'-x,y,-z'
'x,-y,z'
'x+1/2,y+1/2,z'
'-x+1/2,-y+1/2,-z'
'-x+1/2,y+1/2,-z'
'x+1/2,-y+1/2,z'
loop_
_atom_site_label
_atom_site_type_symbol
_atom_site_fract_x
_atom_site_fract_y
_atom_site_fract_z
_atom_site_occupancy
Rb1 Rb 0.0000 0.0000 0.0000 1
Rb2 Rb 0.0000 0.3319 0.0000 1
Pr1 Pr 0.0000 0.1665 0.5000 1
Tm1 Tm 0.0000 0.5000 0.5000 1
S1 S 0.2251 0.3399 0.6951 1
S2 S 0.2451 0.0000 0.6954 1

---

# 2
# K2PtBr (PBE, relaxed)
# Formation energy from raw total energies (eV per formula unit): -1.7
# Crystal system: orthorhombic
# DOS at the Fermi energy (states/eV per cell): 6.339
data_K2PtBr
_symmetry_space_group_name_H-M 'A m m 2'
_symmetry_Int_Tables_number 38
_cell_length_a 5.8932
_cell_length_b 3.1945
_cell_length_c 12.5048
_cell_angle_alpha 90.00
_cell_angle_beta 90.00
_cell_angle_gamma 90.00
loop_
_symmetry_equiv_pos_as_xyz
'x,y,z'
'-x,-y,z'
'-x,y,z'
'x,-y,z'
'x,y+1/2,z+1/2'
'-x,-y+1/2,z+1/2'
'-x,y+1/2,z+1/2'
'x,-y+1/2,z+1/2'
loop_
_atom_site_label
_atom_site_type_symbol
_atom_site_fract_x
_atom_site_fract_y
_atom_site_fract_z
_atom_site_occupancy
K1 K 0.0000 0.0000 0.0000 1
K2 K 0.5000 0.0000 0.2373 1
Pt1 Pt 0.5000 0.0000 0.4963 1
Br1 Br 0.0000 0.0000 0.7374 1

---

# 3
# MnRh2Br (PBE, relaxed)
# Formation energy from raw total energies (eV per formula unit): 2.1
# Crystal system: tetragonal
# DOS at the Fermi energy (states/eV per cell): 11.245
data_MnRh2Br
_symmetry_space_group_name_H-M 'I -4 m 2'
_symmetry_Int_Tables_number 119
_symmetry_space_group_name_Hall 'I -4 -2'
_cell_length_a 3.8149
_cell_length_b 3.8149
_cell_length_c 8.7800
_cell_angle_alpha 90.00
_cell_angle_beta 90.00
_cell_angle_gamma 90.00
loop_
_atom_site_label
_atom_site_type_symbol
_atom_site_fract_x
_atom_site_fract_y
_atom_site_fract_z
_atom_site_occupancy
Mn1 Mn 0.0000 0.0000 0.0000 1
Rh1 Rh 0.0000 0.0000 0.5000 1
Rh2 Rh 0.0000 0.5000 0.7500 1
Br1 Br 0.0000 0.5000 0.2500 1

---

# 4
# V3Ru2Rh (PBE, relaxed)
# Crystal system: tetragonal
# DOS at the Fermi energy (states/eV per cell): 7.753
data_V3Ru2Rh
_symmetry_space_group_name_H-M 'P 4/m m m'
_symmetry_Int_Tables_number 123
_symmetry_space_group_name_Hall '-P 4 2'
_cell_length_a 2.8707
_cell_length_b 2.8707
_cell_length_c 10.0558
_cell_angle_alpha 90.00
_cell_angle_beta 90.00
_cell_angle_gamma 90.00
loop_
_atom_site_label
_atom_site_type_symbol
_atom_site_fract_x
_atom_site_fract_y
_atom_site_fract_z
_atom_site_occupancy
V1 V 0.0000 0.0000 0.0000 1
V2 V 0.0000 0.0000 0.3248 1
Ru1 Ru 0.5000 0.5000 0.1553 1
Rh1 Rh 0.5000 0.5000 0.5000 1

---

| no. | total DFT energy (no corrections) (eV per cell) |
| --- | --- |
| 1 | -127.114 |
| 2 | -23.255 |
| 3 | -46.970 |
| 4 | -54.734 |